Record 1
DFT (PBE) results for LiTb2CeS5 after structural relaxation.

Cell: 3.927 8.411 11.892 Å, 90.00 90.00 103.50°
Each line ends with the local moment (μB).
Fractional coordinates of all 18 atoms:
1 Li 0.513 0.025 0.981  0.00
2 Li 0.487 0.975 0.481  0.00
3 Tb 0.878 0.756 0.794  0.01
4 Tb 0.110 0.220 0.684  0.01
5 Tb 0.122 0.244 0.294  0.01
6 Tb 0.890 0.780 0.184  0.01
7 Ce 0.803 0.607 0.500  0.74
8 Ce 0.197 0.393 0.000  0.74
9 S 0.365 0.730 0.002  -0.01
10 S 0.690 0.381 0.834  -0.01
11 S 0.501 0.001 0.785  0.00
12 S 0.291 0.582 0.667  -0.01
13 S 0.956 0.913 0.576  -0.01
14 S 0.635 0.270 0.502  -0.01
15 S 0.310 0.619 0.334  -0.01
16 S 0.499 0.999 0.285  0.00
17 S 0.709 0.418 0.167  -0.01
18 S 0.044 0.087 0.076  -0.01

SG = No. 36

***

Record 2
DFT (PBE) results for LiTb4CeS8 after structural relaxation.

Cell: 8.049 8.049 8.149 Å, 60.40 60.40 60.00°
Each line ends with the local moment (μB).
Fractional coordinates of all 14 atoms:
1 Li 0.375 0.375 0.874  0.00
2 Tb 0.627 0.627 0.120  0.01
3 Tb 0.005 0.487 0.504  0.01
4 Tb 0.487 0.005 0.504  0.01
5 Tb 0.005 0.005 0.504  0.01
6 Ce 0.003 0.003 0.990  0.89
7 S 0.247 0.769 0.737  -0.01
8 S 0.769 0.247 0.737  -0.01
9 S 0.247 0.247 0.737  -0.01
10 S 0.243 0.243 0.272  0.00
11 S 0.754 0.227 0.265  -0.01
12 S 0.227 0.754 0.265  -0.01
13 S 0.754 0.754 0.265  -0.01
14 S 0.759 0.759 0.724  0.00

SG = No. 160

***

Record 3
DFT (PBE) results for LiTb3Ce4S8 after structural relaxation.

Cell: 7.911 7.968 7.911 Å, 119.76 120.00 90.00°
Each line ends with the local moment (μB).
Fractional coordinates of all 16 atoms:
1 Li 0.000 0.500 0.000  0.00
2 Tb 0.500 0.500 0.000  0.01
3 Tb 0.500 0.500 0.500  0.01
4 Tb 0.000 0.500 0.500  0.01
5 Ce 0.500 0.000 0.000  0.91
6 Ce 0.500 0.000 0.500  0.74
7 Ce 0.000 0.000 0.000  0.74
8 Ce 0.000 0.000 0.500  0.74
9 S 0.243 0.736 0.994  -0.01
10 S 0.243 0.736 0.485  -0.01
11 S 0.253 0.259 0.506  -0.01
12 S 0.751 0.736 0.994  -0.01
13 S 0.249 0.264 0.006  -0.01
14 S 0.747 0.741 0.494  -0.01
15 S 0.757 0.264 0.515  -0.01
16 S 0.757 0.264 0.006  -0.01

SG = No. 166

***

Record 4
DFT (PBE) results for Li2TbCeS4 after structural relaxation.

Cell: 3.994 6.919 6.593 Å, 110.43 90.00 90.00°
Each line ends with the local moment (μB).
Fractional coordinates of all 8 atoms:
1 Li 0.500 0.000 0.500  0.00
2 Li 0.000 0.500 0.500  0.00
3 Tb 0.000 0.000 0.000  0.03
4 Ce 0.500 0.500 0.000  0.88
5 S 0.500 0.245 0.253  -0.01
6 S 0.500 0.755 0.747  -0.01
7 S 0.000 0.242 0.745  -0.01
8 S 0.000 0.758 0.255  -0.01

SG = No. 10

***

Record 5
DFT (PBE) results for LiTbCeS3 after structural relaxation.

Cell: 3.876 8.134 8.496 Å, 102.80 90.00 90.00°
Each line ends with the local moment (μB).
Fractional coordinates of all 12 atoms:
1 Li 0.250 0.088 0.584  0.00
2 Li 0.750 0.912 0.416  0.00
3 Tb 0.250 0.665 0.164  0.06
4 Tb 0.750 0.335 0.836  0.06
5 Ce 0.250 0.183 0.220  1.01
6 Ce 0.750 0.817 0.780  1.01
7 S 0.750 0.902 0.136  -0.01
8 S 0.250 0.098 0.864  -0.01
9 S 0.250 0.787 0.502  -0.01
10 S 0.750 0.213 0.498  -0.01
11 S 0.750 0.428 0.171  -0.01
12 S 0.250 0.572 0.829  -0.01

SG = No. 11

***

Record 6
DFT (PBE) results for Li3Ce2ThS6 after structural relaxation.

Cell: 6.982 6.982 6.643 Å, 100.10 100.10 120.00°
Each line ends with the local moment (μB).
Fractional coordinates of all 12 atoms:
1 Li 0.165 0.835 0.500  0.00
2 Li 0.835 0.165 0.500  0.00
3 Li 0.500 0.500 0.500  0.00
4 Ce 0.333 0.667 0.000  1.02
5 Ce 0.667 0.333 0.000  1.02
6 Th 0.000 0.000 0.000  0.17
7 S 0.913 0.584 0.739  -0.01
8 S 0.757 0.757 0.259  -0.01
9 S 0.087 0.416 0.261  -0.01
10 S 0.584 0.913 0.739  -0.01
11 S 0.243 0.243 0.741  -0.01
12 S 0.416 0.087 0.261  -0.01

SG = No. 12

***

Results for formation energy (no corrections): -16.45 -27.03 -31.46 -14.21 -10.89 -20.38 (in eV per formula unit, following the order of the records).
Results for spin magnetization: 0.8 1.0 3.9 1.0 1.3 2.8 (in μB/f.u., following the order of the records).